{"formula": "LiHg3Pt", "functional": "PBEsol", "state": "relaxed", "final_energy_ev_per_atom": -2.113, "total_magnetization_mub_per_cell": 0.0, "lattice_angstrom": [[-3.6679, -3.4334, -1.3650], [2.9073, -1.4950, -4.0518], [2.2801, -3.6169, 2.9705]], "species": ["Hg", "Hg", "Li", "Pt", "Hg"], "fractional_positions": [[0.0000, 0.0000, 0.5000], [0.5000, 0.0000, 0.0000], [0.5000, 0.5000, 0.5000], [0.0000, 0.0000, 0.0000], [0.0000, 0.5000, 0.0000]]}


{"formula": "LiHg2Pt", "functional": "PBEsol", "state": "relaxed", "final_energy_ev_per_atom": -2.833, "total_magnetization_mub_per_cell": 0.0, "lattice_angstrom": [[4.6012, 0.0000, 0.0000], [2.3006, 3.9847, 0.0000], [2.3006, 1.3282, 3.7569]], "species": ["Hg", "Hg", "Li", "Pt"], "fractional_positions": [[0.2500, 0.2500, 0.2500], [0.7500, 0.7500, 0.7500], [0.0000, 0.0000, 0.0000], [0.5000, 0.5000, 0.5000]]}


{"formula": "LiHg2Pt", "functional": "PBEsol", "state": "relaxed", "final_energy_ev_per_atom": -2.783, "total_magnetization_mub_per_cell": 0.0, "lattice_angstrom": [[-3.7384, 0.1335, 1.2871], [1.2768, -0.2594, 3.7353], [1.4628, 4.4114, -2.2885]], "species": ["Li", "Hg", "Pt", "Hg"], "fractional_positions": [[0.5000, 0.5000, 0.0000], [0.7500, 0.2500, 0.5000], [0.2500, 0.7500, 0.5000], [0.0000, 0.0000, 0.0000]]}


{"formula": "LiHg2Pt", "functional": "PBEsol", "state": "relaxed", "final_energy_ev_per_atom": -2.744, "total_magnetization_mub_per_cell": 0.0, "lattice_angstrom": [[-1.6879, -0.0471, 2.4207], [1.4002, -3.7891, 0.9026], [4.2716, 2.2987, 3.0232]], "species": ["Li", "Hg", "Pt", "Hg"], "fractional_positions": [[0.0000, 0.0000, 0.5154], [0.5000, 0.5000, 0.2677], [0.5000, 0.5000, 0.7447], [0.0000, 0.0000, 0.9722]]}


{"formula": "LiHgPt", "functional": "PBEsol", "state": "relaxed", "final_energy_ev_per_atom": -3.501, "total_magnetization_mub_per_cell": 0.0, "lattice_angstrom": [[2.8519, 0.0000, 0.0000], [0.0000, 4.3774, 0.0000], [0.0000, -2.1887, 3.7909]], "species": ["Hg", "Pt", "Li"], "fractional_positions": [[0.9524, 0.0000, 0.0000], [0.4086, 0.6667, 0.3333], [0.6390, 0.3333, 0.6667]]}


{"formula": "RbLi3Hg", "functional": "PBEsol", "state": "relaxed", "final_energy_ev_per_atom": -1.541, "total_magnetization_mub_per_cell": 0.0, "lattice_angstrom": [[-0.7178, 3.6360, -3.8562], [-0.5464, -3.9214, -3.5958], [-5.2718, -0.0886, 0.8978]], "species": ["Li", "Rb", "Li", "Hg", "Li"], "fractional_positions": [[0.0000, 0.0000, 0.5000], [0.5000, 0.5000, 0.5000], [0.0000, 0.5000, 0.0000], [0.0000, 0.0000, 0.0000], [0.5000, 0.0000, 0.0000]]}


{"formula": "RbLiHg2", "functional": "PBEsol", "state": "relaxed", "final_energy_ev_per_atom": -1.116, "total_magnetization_mub_per_cell": 0.0, "lattice_angstrom": [[-4.1319, -1.7869, 3.2084], [0.8634, -4.1260, 3.5764], [0.0783, 1.0218, 5.4323]], "species": ["Hg", "Hg", "Li", "Rb"], "fractional_positions": [[0.7500, 0.7500, 0.7500], [0.2500, 0.2500, 0.2500], [0.0000, 0.0000, 0.0000], [0.5000, 0.5000, 0.5000]]}


{"formula": "Li2ReHg", "functional": "PBEsol", "state": "relaxed", "final_energy_ev_per_atom": -4.000, "total_magnetization_mub_per_cell": 0.0, "lattice_angstrom": [[2.6671, 0.0000, 0.0000], [0.0000, 4.6157, 0.0000], [0.0000, 0.0000, 4.6157]], "species": ["Re", "Li", "Li", "Hg"], "fractional_positions": [[0.5000, 0.5000, 0.5000], [0.0000, 0.5000, 0.0000], [0.0000, 0.0000, 0.5000], [0.5000, 0.0000, 0.0000]]}


{"formula": "LiReHg2", "functional": "PBEsol", "state": "relaxed", "final_energy_ev_per_atom": -3.685, "total_magnetization_mub_per_cell": 0.0, "lattice_angstrom": [[2.7774, 0.0000, 0.0000], [0.0000, 4.1383, 0.0000], [0.0000, 0.0000, 5.9431]], "species": ["Li", "Hg", "Hg", "Re"], "fractional_positions": [[0.5000, 0.5000, 0.0000], [0.0000, 0.0000, 0.7492], [0.0000, 0.0000, 0.2508], [0.5000, 0.5000, 0.5000]]}


{"formula": "Li2ReHg", "functional": "PBEsol", "state": "relaxed", "final_energy_ev_per_atom": -4.107, "total_magnetization_mub_per_cell": 0.0, "lattice_angstrom": [[-0.5518, 0.7537, 2.4205], [-2.6869, -4.2468, 0.7099], [4.8902, -0.4891, 1.2672]], "species": ["Re", "Hg", "Li", "Li"], "fractional_positions": [[0.5000, 0.0000, 0.0000], [0.5000, 0.5000, 0.5000], [0.0000, 0.5000, 0.0000], [0.0000, 0.0000, 0.5000]]}


{"formula": "Li2ReHg", "functional": "PBEsol", "state": "relaxed", "final_energy_ev_per_atom": -4.070, "total_magnetization_mub_per_cell": 0.0, "lattice_angstrom": [[2.6119, 0.0000, 0.0000], [0.0000, 5.0020, -0.1108], [-1.3059, -0.7084, 4.8726]], "species": ["Hg", "Li", "Li", "Re"], "fractional_positions": [[0.7456, 0.2816, 0.4913], [0.2476, 0.7679, 0.4951], [0.0100, 0.9770, 0.0199], [0.4968, 0.4735, 0.9937]]}


{"formula": "LiRe2Hg", "functional": "PBEsol", "state": "relaxed", "final_energy_ev_per_atom": -6.490, "total_magnetization_mub_per_cell": 0.0, "lattice_angstrom": [[-2.9633, -0.1275, 1.1217], [-0.0826, -3.1178, -0.5726], [2.1163, -1.0607, 5.4704]], "species": ["Re", "Li", "Hg", "Re"], "fractional_positions": [[0.0000, 0.0000, 0.6935], [0.5000, 0.5000, 0.5000], [0.5000, 0.5000, 0.0000], [0.0000, 0.0000, 0.3065]]}


no.,formation energy from the elements (eV/atom)
1,0.013
2,-0.317
3,-0.267
4,-0.228
5,-0.336
6,-0.043
7,-0.085
8,0.458
9,0.423
10,0.351
11,0.388
12,0.809